No. 1
Computed, not measured: a relaxed structure of La6Cd2FeN at the PBE level of DFT.

Output
Raw formation energy   -0.34 eV/atom
Electronic total energy   -5.156 eV per atom
Fermi-level density of states   1.00 states/eV/atom
Space-group type   No. 1

extended XYZ file:
```
10
Lattice="-1.047 -6.938 2.413 3.434 -2.495 -6.144 3.410 4.964 4.329" Properties=species:S:1:pos:R:3 pbc="T T T"
N 3.433 -2.482 -6.105
La 3.336 -1.213 4.454
La 3.537 2.494 3.513
La 2.369 -3.185 -3.917
La 2.385 -0.180 0.892
La 2.245 -6.993 -2.965
La 3.348 -4.411 -0.449
Fe 1.376 -4.646 -1.630
Cd 4.033 -1.181 -1.822
Cd 1.762 -3.299 2.375
```

---

No. 2
Computed, not measured: a relaxed structure of NaLa2CdFe at the PBE level of DFT.

Output
Electronic total energy   -4.104 eV per atom
Fermi-level density of states   0.97 states/eV/atom
ΔH_f (0 K)   0.01 eV/atom
Space-group type   No. 123

extended XYZ file:
```
5
Lattice="5.166 0.000 0.000 0.000 5.166 0.000 0.000 0.000 5.365" Properties=species:S:1:pos:R:3 pbc="T T T"
Cd 0.000 0.000 2.682
Fe 0.000 0.000 0.000
La 0.000 2.583 0.000
La 2.583 0.000 0.000
Na 2.583 2.583 2.682
```

---

No. 3
Computed, not measured: a relaxed structure of LaNbCd2Fe at the PBE level of DFT.

Output
Electronic total energy   -3.896 eV per atom
Fermi-level density of states   1.60 states/eV/atom
ΔH_f (0 K)   1.16 eV/atom
Space-group type   No. 123

extended XYZ file:
```
5
Lattice="-2.795 -0.138 -4.662 0.740 -5.380 -0.284 -4.402 -0.746 2.661" Properties=species:S:1:pos:R:3 pbc="T T T"
Cd -1.397 -0.069 -2.331
Cd 0.370 -2.690 -0.142
La -2.201 -0.373 1.331
Fe -3.228 -3.132 -1.143
Nb 0.000 0.000 0.000
```

---

No. 4
Computed, not measured: a relaxed structure of La6Cd2FeNi at the PBE level of DFT.

Output
Electronic total energy   -4.714 eV per atom
Fermi-level density of states   1.16 states/eV/atom
ΔH_f (0 K)   -0.15 eV/atom
Space-group type   No. 1

extended XYZ file:
```
10
Lattice="-3.958 2.585 -5.976 -6.079 0.421 4.567 6.342 3.510 1.996" Properties=species:S:1:pos:R:3 pbc="T T T"
La -5.553 0.954 1.977
La -4.903 4.200 -0.145
La 1.206 2.320 0.710
La -1.372 5.223 0.785
La 1.867 5.577 -1.470
La -2.323 1.299 -0.223
Ni 1.329 5.022 1.246
Cd -1.320 3.800 -2.346
Cd -2.378 2.719 2.913
Fe 2.341 6.045 -3.767
```

---

Which of these has the highest electronic total energy? LaNbCd2Fe